(1)
The following is a DFT calculation (PBE) of a relaxed structure of TeOs2W.

- Magnetization: 0.13 μB per formula unit
- Formation energy without anion corrections: 3.72 eV/f.u.
- N(E_F): 1.176 states/eV/atom
- Mass density: 17.4 g cm⁻³

Structure (CIF):
```
data_TeOs2W
_chemical_formula_sum 'Te1 Os2 W1'
_cell_length_a 3.692
_cell_length_b 4.231
_cell_length_c 4.231
_cell_angle_alpha 90.00
_cell_angle_beta 90.00
_cell_angle_gamma 90.00
_space_group_name_H-M_alt 'P 1'
_space_group_IT_number 1
_space_group_name_Hall 'P 1'
loop_
_atom_site_label
_atom_site_type_symbol
_atom_site_fract_x
_atom_site_fract_y
_atom_site_fract_z
_atom_site_occupancy
Os1 Os 0.000 0.000 0.000 1
Os2 Os 0.000 0.500 0.500 1
Te1 Te 0.500 0.500 0.000 1
W1 W 0.500 0.000 0.500 1
```



(2)
The following is a DFT calculation (PBE) of a relaxed structure of K2ReAg.

- Magnetization: 2.67 μB per formula unit
- Energy relative to the lowest polymorph listed for this composition: 449 meV per atom
- Calculated formation energy: 1.432 eV per atom
- N(E_F): 0.954 states/eV/atom
- Mass density: 6.0 g cm⁻³

Structure (CIF):
```
data_K2ReAg
_chemical_formula_sum 'K2 Re1 Ag1'
_cell_length_a 4.303
_cell_length_b 4.303
_cell_length_c 5.526
_cell_angle_alpha 90.00
_cell_angle_beta 90.00
_cell_angle_gamma 90.00
_space_group_name_H-M_alt 'P 1'
_space_group_IT_number 1
_space_group_name_Hall 'P 1'
loop_
_atom_site_label
_atom_site_type_symbol
_atom_site_fract_x
_atom_site_fract_y
_atom_site_fract_z
_atom_site_occupancy
Ag1 Ag 0.000 0.500 0.500 1
K1 K 0.000 0.000 0.000 1
K2 K 0.500 0.500 0.000 1
Re1 Re 0.500 0.000 0.500 1
```



(3)
The following is a DFT calculation (PBE) of a relaxed structure of Ac2InRuO6.

- Magnetization: 1.02 μB per formula unit
- Formation energy without anion corrections: -21.36 eV/f.u.
- N(E_F): 0.554 states/eV/atom
- Mass density: 8.9 g cm⁻³

Structure (CIF):
```
data_Ac2InRuO6
_chemical_formula_sum 'Ac4 In2 Ru2 O12'
_cell_length_a 5.799
_cell_length_b 5.964
_cell_length_c 8.262
_cell_angle_alpha 90.00
_cell_angle_beta 90.00
_cell_angle_gamma 90.00
_space_group_name_H-M_alt 'P 1'
_space_group_IT_number 1
_space_group_name_Hall 'P 1'
loop_
_atom_site_label
_atom_site_type_symbol
_atom_site_fract_x
_atom_site_fract_y
_atom_site_fract_z
_atom_site_occupancy
Ac1 Ac 0.500 0.775 0.266 1
Ac2 Ac 0.000 0.225 0.766 1
Ac3 Ac 0.500 0.775 0.734 1
Ac4 Ac 0.000 0.225 0.234 1
In1 In 0.500 0.268 0.500 1
In2 In 0.000 0.732 0.000 1
Ru1 Ru 0.000 0.763 0.500 1
Ru2 Ru 0.500 0.237 0.000 1
O1 O 0.500 0.213 0.246 1
O2 O 0.500 0.213 0.754 1
O3 O 0.000 0.787 0.254 1
O4 O 0.000 0.787 0.746 1
O5 O 0.255 0.999 0.500 1
O6 O 0.745 0.999 0.500 1
O7 O 0.261 0.533 0.500 1
O8 O 0.739 0.533 0.500 1
O9 O 0.761 0.467 0.000 1
O10 O 0.239 0.467 0.000 1
O11 O 0.245 0.001 0.000 1
O12 O 0.755 0.001 0.000 1
```



(4)
The following is a DFT calculation (PBE) of a relaxed structure of Ba3Mg2In2.

- Magnetization: 0.00 μB per formula unit
- Calculated formation energy: -0.273 eV per atom
- N(E_F): 0.694 states/eV/atom
- Mass density: 4.3 g cm⁻³

Structure (CIF):
```
data_Ba3Mg2In2
_chemical_formula_sum 'Ba12 Mg8 In8'
_cell_length_a 7.021
_cell_length_b 9.405
_cell_length_c 16.044
_cell_angle_alpha 90.00
_cell_angle_beta 90.00
_cell_angle_gamma 90.00
_space_group_name_H-M_alt 'P 1'
_space_group_IT_number 1
_space_group_name_Hall 'P 1'
loop_
_atom_site_label
_atom_site_type_symbol
_atom_site_fract_x
_atom_site_fract_y
_atom_site_fract_z
_atom_site_occupancy
Ba1 Ba 0.109 0.607 0.106 1
Ba2 Ba 0.891 0.393 0.606 1
Ba3 Ba 0.891 0.107 0.394 1
Ba4 Ba 0.109 0.893 0.894 1
Ba5 Ba 0.891 0.393 0.894 1
Ba6 Ba 0.109 0.607 0.394 1
Ba7 Ba 0.109 0.893 0.606 1
Ba8 Ba 0.891 0.107 0.106 1
Ba9 Ba 0.341 0.251 0.250 1
Ba10 Ba 0.659 0.749 0.750 1
Ba11 Ba 0.659 0.751 0.250 1
Ba12 Ba 0.341 0.249 0.750 1
Mg1 Mg 0.604 0.457 0.085 1
Mg2 Mg 0.396 0.543 0.585 1
Mg3 Mg 0.396 0.957 0.415 1
Mg4 Mg 0.604 0.043 0.915 1
Mg5 Mg 0.396 0.543 0.915 1
Mg6 Mg 0.604 0.457 0.415 1
Mg7 Mg 0.604 0.043 0.585 1
Mg8 Mg 0.396 0.957 0.085 1
In1 In 0.340 0.250 0.000 1
In2 In 0.660 0.750 0.500 1
In3 In 0.660 0.750 0.000 1
In4 In 0.340 0.250 0.500 1
In5 In 0.820 0.389 0.250 1
In6 In 0.180 0.611 0.750 1
In7 In 0.180 0.889 0.250 1
In8 In 0.820 0.111 0.750 1
```



(5)
The following is a DFT calculation (PBE) of a relaxed structure of Zn2SiIr.

- Magnetization: 0.00 μB per formula unit
- Formation energy without anion corrections: 0.42 eV/f.u.
- N(E_F): 0.776 states/eV/atom
- Mass density: 9.7 g cm⁻³

Structure (CIF):
```
data_Zn2SiIr
_chemical_formula_sum 'Zn2 Si1 Ir1'
_cell_length_a 9.292
_cell_length_b 9.292
_cell_length_c 9.292
_cell_angle_alpha 17.03
_cell_angle_beta 17.03
_cell_angle_gamma 17.03
_space_group_name_H-M_alt 'P 1'
_space_group_IT_number 1
_space_group_name_Hall 'P 1'
loop_
_atom_site_label
_atom_site_type_symbol
_atom_site_fract_x
_atom_site_fract_y
_atom_site_fract_z
_atom_site_occupancy
Ir1 Ir 0.250 0.250 0.250 1
Si1 Si 0.750 0.750 0.750 1
Zn1 Zn 0.995 0.995 0.995 1
Zn2 Zn 0.505 0.505 0.505 1
```



(6)
The following is a DFT calculation (PBE) of a relaxed structure of Ho2Th5Sc4.

- Magnetization: 0.00 μB per formula unit
- Calculated formation energy: 0.054 eV per atom
- N(E_F): 1.544 states/eV/atom
- Mass density: 8.6 g cm⁻³

Structure (CIF):
```
data_Ho2Th5Sc4
_chemical_formula_sum 'Ho2 Th5 Sc4'
_cell_length_a 3.417
_cell_length_b 11.685
_cell_length_c 14.340
_cell_angle_alpha 142.74
_cell_angle_beta 110.92
_cell_angle_gamma 73.02
_space_group_name_H-M_alt 'P 1'
_space_group_IT_number 1
_space_group_name_Hall 'P 1'
loop_
_atom_site_label
_atom_site_type_symbol
_atom_site_fract_x
_atom_site_fract_y
_atom_site_fract_z
_atom_site_occupancy
Ho1 Ho 0.797 0.793 0.394 1
Ho2 Ho 0.203 0.207 0.606 1
Th1 Th 0.849 0.314 0.108 1
Th2 Th 0.662 0.132 0.194 1
Th3 Th 0.000 0.500 0.000 1
Th4 Th 0.338 0.868 0.806 1
Th5 Th 0.151 0.686 0.892 1
Sc1 Sc 0.594 0.599 0.464 1
Sc2 Sc 0.548 0.059 0.739 1
Sc3 Sc 0.406 0.401 0.536 1
Sc4 Sc 0.452 0.941 0.261 1
```